No. 1
NdTlAu2 PBE relaxed; offset from the most stable computed form = 79 meV/atom; volume = 99.0 Å³ per cell; spin magnetization = 0.000 Bohr magnetons per cell; ΔE_f = -0.49 eV/atom; density of states at the Fermi level = 1.96 states/eV per cell; SG = P4/mmm; uncorrected energy = -15.6 eV for the cell shown
1.0
3.8111 0.0000 0.0000
0.0000 3.8111 0.0000
0.0000 0.0000 6.8177
Nd Tl Au
1 1 2
Cartesian
0.0000 0.0000 0.0000
0.0000 0.0000 3.4089
1.9056 1.9056 1.5996
1.9056 1.9056 5.2181


No. 2
Nd8Tl2Au3 PBE relaxed; volume = 440.2 Å³ per cell; spin magnetization = 0.000 Bohr magnetons per cell; ΔE_f = -0.27 eV/atom; density of states at the Fermi level = 13.79 states/eV per cell; SG = C2/m; uncorrected energy = -56.3 eV for the cell shown
1.0
8.7024 -3.8839 0.0000
8.7024 3.8839 0.0000
-2.0608 0.0000 6.5124
Nd Tl Au
8 2 3
Cartesian
0.7326 0.0000 2.8129
6.6130 1.9026 0.4693
4.7299 0.0000 2.9125
8.7311 1.9026 6.0431
6.6130 -1.9026 0.4693
10.6142 0.0000 3.5999
8.7311 -1.9026 6.0431
14.6115 0.0000 3.6995
2.5786 0.0000 5.4035
12.7655 0.0000 1.1089
0.0000 0.0000 0.0000
7.6721 1.4016 3.2562
7.6721 -1.4016 3.2562


No. 3
Nd3Tl2Au PBE relaxed; offset from the most stable computed form = 85 meV/atom; volume = 341.8 Å³ per cell; spin magnetization = 0.000 Bohr magnetons per cell; ΔE_f = -0.43 eV/atom; density of states at the Fermi level = 8.67 states/eV per cell; SG = C2/c; uncorrected energy = -49.7 eV for the cell shown
1.0
7.9890 -3.2815 0.0000
7.9890 3.2815 0.0000
-1.5142 0.0000 6.5196
Nd Tl Au
6 4 2
Cartesian
6.8533 2.4127 4.8897
4.8201 0.6783 2.6971
4.0630 -0.6783 5.9569
10.4008 0.6783 0.5627
9.6437 -0.6783 3.8225
7.6104 -2.4127 1.6299
2.6088 0.7285 0.3486
1.8517 -0.7285 3.6084
12.6121 0.7285 2.9111
11.8550 -0.7285 6.1709
7.6104 0.9147 1.6299
6.8533 -0.9147 4.8897


No. 4
Nd8Tl2Au PBE relaxed; offset from the most stable computed form = 51 meV/atom; volume = 344.4 Å³ per cell; spin magnetization = 0.003 Bohr magnetons per cell; ΔE_f = -0.20 eV/atom; density of states at the Fermi level = 14.94 states/eV per cell; SG = Immm; uncorrected energy = -48.4 eV for the cell shown
1.0
-2.7705 3.6562 8.4990
2.7705 -3.6562 8.4990
2.7705 3.6562 -8.4990
Nd Tl Au
8 2 1
Cartesian
2.7705 1.9424 -2.2782
0.0000 0.0000 3.3227
0.0000 1.8391 0.0000
2.7705 1.9424 2.2782
0.0000 1.7138 6.2208
0.0000 5.4733 0.0000
0.0000 0.0000 13.6753
0.0000 1.7138 10.7773
2.7705 0.0000 5.3459
0.0000 3.6562 3.1532
2.7705 0.0000 0.0000


No. 5
Nd5Tl4Au PBE relaxed; volume = 289.5 Å³ per cell; spin magnetization = 0.000 Bohr magnetons per cell; ΔE_f = -0.47 eV/atom; density of states at the Fermi level = 7.02 states/eV per cell; SG = P4/mmm; uncorrected energy = -41.3 eV for the cell shown
1.0
3.7199 0.0000 0.0000
0.0000 3.7199 0.0000
0.0000 0.0000 20.9221
Nd Tl Au
5 4 1
Cartesian
0.0000 0.0000 0.0000
0.0000 0.0000 4.3000
0.0000 0.0000 8.6201
0.0000 0.0000 12.3020
0.0000 0.0000 16.6222
1.8599 1.8599 2.1503
1.8599 1.8599 6.4552
1.8599 1.8599 14.4669
1.8599 1.8599 18.7718
1.8599 1.8599 10.4611


No. 6
NdTlAu4 PBE relaxed; offset from the most stable computed form = 7 meV/atom; volume = 131.0 Å³ per cell; spin magnetization = 0.000 Bohr magnetons per cell; ΔE_f = -0.40 eV/atom; density of states at the Fermi level = 1.51 states/eV per cell; SG = F-43m; uncorrected energy = -22.6 eV for the cell shown
1.0
0.0000 4.0310 4.0310
4.0310 0.0000 4.0310
4.0310 4.0310 0.0000
Nd Tl Au
1 1 4
Cartesian
0.0000 0.0000 0.0000
6.0465 6.0465 6.0465
3.0238 3.0238 3.0238
5.0382 5.0382 3.0238
5.0382 3.0238 5.0382
3.0238 5.0382 5.0382


No. 7
NdTl2Au PBE relaxed; offset from the most stable computed form = 0 meV/atom; volume = 103.4 Å³ per cell; spin magnetization = 0.000 Bohr magnetons per cell; ΔE_f = -0.36 eV/atom; density of states at the Fermi level = 2.75 states/eV per cell; SG = P4/mmm; uncorrected energy = -14.2 eV for the cell shown
1.0
4.6435 0.0000 0.0000
0.0000 4.6435 0.0000
0.0000 0.0000 4.7977
Nd Tl Au
1 2 1
Cartesian
0.0000 0.0000 0.0000
0.0000 2.3218 2.3988
2.3218 0.0000 2.3988
2.3218 2.3218 0.0000


No. 8
Nd4Tl5Au2 PBE relaxed; volume = 312.2 Å³ per cell; spin magnetization = 0.000 Bohr magnetons per cell; ΔE_f = -0.46 eV/atom; density of states at the Fermi level = 8.07 states/eV per cell; SG = P2/m; uncorrected energy = -42.5 eV for the cell shown
1.0
8.2156 0.0000 0.0000
0.0000 3.8149 0.0000
-0.5265 0.0000 9.9596
Nd Tl Au
4 5 2
Cartesian
1.4833 0.0000 3.5516
1.3700 0.0000 9.1530
6.3191 0.0000 0.8066
6.2057 0.0000 6.4080
0.8606 1.9074 6.3021
3.6754 1.9074 1.6506
3.8445 1.9074 4.9798
4.0137 1.9074 8.3090
6.8284 1.9074 3.6575
0.5811 1.9074 1.3122
7.1080 1.9074 8.6474


No. 9
Nd5TlAu PBE relaxed; volume = 438.4 Å³ per cell; spin magnetization = 0.000 Bohr magnetons per cell; ΔE_f = -0.22 eV/atom; density of states at the Fermi level = 15.84 states/eV per cell; SG = C2/c; uncorrected energy = -62.0 eV for the cell shown
1.0
4.4926 -4.1723 0.0000
4.4926 4.1723 0.0000
-3.0008 0.0000 11.6939
Nd Tl Au
10 2 2
Cartesian
2.2421 4.0509 8.7704
1.9614 1.6002 1.5718
2.0215 1.2058 5.1886
0.4611 -1.6002 7.4188
5.4634 1.2058 0.6584
0.5212 -1.2058 11.0355
5.5235 1.6002 4.2751
3.9630 -1.2058 6.5053
4.0231 -1.6002 10.1221
3.7425 -4.0509 2.9235
2.2421 0.8145 8.7704
3.7425 -0.8145 2.9235
0.0000 0.0000 0.0000
-1.5004 0.0000 5.8469


No. 10
Nd6TlAu5 PBE relaxed; volume = 316.0 Å³ per cell; spin magnetization = 0.000 Bohr magnetons per cell; ΔE_f = -0.69 eV/atom; density of states at the Fermi level = 9.39 states/eV per cell; SG = C2/m; uncorrected energy = -55.6 eV for the cell shown
1.0
8.3512 -3.7851 0.0000
8.3512 3.7851 0.0000
-1.6477 0.0000 4.9984
Nd Tl Au
6 1 5
Cartesian
4.9503 1.9320 1.6453
8.3512 1.9926 0.0000
10.1044 1.9320 3.3531
4.9503 -1.9320 1.6453
8.3512 -1.9926 0.0000
10.1044 -1.9320 3.3531
7.5274 0.0000 2.4992
-0.8238 0.0000 2.4992
2.5276 0.0000 0.8361
4.3481 0.0000 4.2190
10.7066 0.0000 0.7794
12.5272 0.0000 4.1623


No. 11
Nd2TlAu PBE relaxed; volume = 111.3 Å³ per cell; spin magnetization = 0.000 Bohr magnetons per cell; ΔE_f = -0.57 eV/atom; density of states at the Fermi level = 3.54 states/eV per cell; SG = P4/mmm; uncorrected energy = -17.5 eV for the cell shown
1.0
3.7333 0.0000 0.0000
0.0000 3.7333 0.0000
0.0000 0.0000 7.9862
Nd Tl Au
2 1 1
Cartesian
0.0000 0.0000 1.8329
0.0000 0.0000 6.1533
1.8667 1.8667 3.9931
1.8667 1.8667 0.0000


No. 12
Nd8TlAu2 PBE relaxed; offset from the most stable computed form = 82 meV/atom; volume = 348.7 Å³ per cell; spin magnetization = 0.000 Bohr magnetons per cell; ΔE_f = -0.26 eV/atom; density of states at the Fermi level = 16.73 states/eV per cell; SG = Cm; uncorrected energy = -50.0 eV for the cell shown
1.0
4.4933 -7.1620 0.0000
4.4933 7.1620 0.0000
-1.7078 0.0000 5.4172
Nd Tl Au
8 1 2
Cartesian
0.0000 0.0000 0.0000
0.7253 1.6857 3.3100
3.2146 3.4095 1.0444
0.7253 -1.6857 3.3100
4.0327 1.6945 4.1828
3.2146 -3.4095 1.0444
4.0327 -1.6945 4.1828
6.4636 0.0000 2.0835
3.2361 0.0000 1.0353
2.3859 4.4173 3.7621
2.3859 -4.4173 3.7621


No. 13
Nd5Tl2Au PBE relaxed; volume = 486.7 Å³ per cell; spin magnetization = 0.860 Bohr magnetons per cell; ΔE_f = -0.39 eV/atom; density of states at the Fermi level = 21.26 states/eV per cell; SG = Pbam; uncorrected energy = -69.9 eV for the cell shown
1.0
7.0014 0.0000 0.0000
0.0000 13.4340 0.0000
0.0000 0.0000 5.1743
Nd Tl Au
10 4 2
Cartesian
0.0000 0.0000 0.0000
0.7580 3.7622 0.0000
1.2382 8.0168 2.5871
2.2625 1.2998 2.5871
2.7427 10.4792 0.0000
3.5007 6.7170 0.0000
4.2587 2.9548 0.0000
4.7389 12.1342 2.5871
5.7632 5.4172 2.5871
6.2433 9.6718 0.0000
0.9500 11.4174 2.5871
2.5507 4.7004 2.5871
4.4507 8.7336 2.5871
6.0514 2.0166 2.5871
0.0000 6.7170 0.0000
3.5007 0.0000 0.0000


No. 14
Nd8TlAu2 PBE relaxed; offset from the most stable computed form = 0 meV/atom; volume = 339.4 Å³ per cell; spin magnetization = 0.000 Bohr magnetons per cell; ΔE_f = -0.34 eV/atom; density of states at the Fermi level = 11.51 states/eV per cell; SG = C2/m; uncorrected energy = -50.9 eV for the cell shown
1.0
8.9264 -2.5638 0.0000
8.9264 2.5638 0.0000
-3.3060 0.0000 7.4141
Nd Tl Au
8 1 2
Cartesian
-0.0608 0.0000 1.9286
0.7192 0.0000 5.8177
3.9681 0.0000 3.9313
7.1594 0.0000 0.2897
7.3874 0.0000 7.1243
10.5787 0.0000 3.4828
13.8276 0.0000 1.5963
14.6076 0.0000 5.4854
7.2734 0.0000 3.7070
2.8948 0.0000 1.1657
11.6520 0.0000 6.2483


No. 15
NdTlAu PBE relaxed; volume = 154.5 Å³ per cell; spin magnetization = 0.000 Bohr magnetons per cell; ΔE_f = -0.61 eV/atom; density of states at the Fermi level = 1.74 states/eV per cell; SG = P6_3/mmc; uncorrected energy = -24.5 eV for the cell shown
1.0
5.2348 0.0000 0.0000
-2.6174 4.5335 0.0000
0.0000 0.0000 6.5106
Nd Tl Au
2 2 2
Cartesian
0.0000 3.0223 1.6276
2.6174 1.5112 4.8829
0.0000 0.0000 0.0000
0.0000 0.0000 3.2553
0.0000 3.0223 4.8829
2.6174 1.5112 1.6276


No. 16
Nd3TlAu PBE relaxed; volume = 614.6 Å³ per cell; spin magnetization = 0.000 Bohr magnetons per cell; ΔE_f = -0.35 eV/atom; density of states at the Fermi level = 17.97 states/eV per cell; SG = C2/c; uncorrected energy = -86.7 eV for the cell shown
1.0
8.6828 -3.5205 0.0000
8.6828 3.5205 0.0000
-5.7003 0.0000 10.0524
Nd Tl Au
12 4 4
Cartesian
4.4892 2.1273 5.4711
-1.1584 0.1232 7.9149
1.6918 -0.1232 2.8887
4.3259 2.1273 9.6076
5.3174 0.1004 2.3240
2.4672 -0.1004 7.3502
9.1980 0.1004 2.7022
6.3478 -0.1004 7.7284
7.3394 -2.1273 0.4449
9.9735 0.1232 7.1637
12.8236 -0.1232 2.1375
7.1760 -2.1273 4.5813
1.0284 1.6201 9.8218
7.7866 1.6201 5.2568
3.8786 -1.6201 4.7956
10.6368 -1.6201 0.2306
1.4912 1.7602 5.0262
7.2577 2.6415 2.5131
4.3414 -1.7602 0.0000
4.4075 -2.6415 7.5393


No. 17
Nd4TlAu2 PBE relaxed; volume = 220.2 Å³ per cell; spin magnetization = 0.000 Bohr magnetons per cell; ΔE_f = -0.40 eV/atom; density of states at the Fermi level = 7.94 states/eV per cell; SG = R-3m; uncorrected energy = -30.8 eV for the cell shown
1.0
2.5357 1.4640 9.8873
-2.5357 1.4640 9.8873
0.0000 -2.9280 9.8873
Nd Tl Au
4 1 2
Cartesian
0.0000 0.0000 3.5201
0.0000 0.0000 8.7480
0.0000 0.0000 20.9139
0.0000 0.0000 26.1418
0.0000 0.0000 14.8309
0.0000 0.0000 11.7684
0.0000 0.0000 17.8935


No. 18
Nd8Tl2Au PBE relaxed; offset from the most stable computed form = 0 meV/atom; volume = 350.9 Å³ per cell; spin magnetization = 0.000 Bohr magnetons per cell; ΔE_f = -0.25 eV/atom; density of states at the Fermi level = 11.88 states/eV per cell; SG = C2/m; uncorrected energy = -49.0 eV for the cell shown
1.0
9.8374 -2.6358 0.0000
9.8374 2.6358 0.0000
-1.7770 0.0000 6.7660
Nd Tl Au
8 2 1
Cartesian
-0.1995 0.0000 1.8475
2.6695 0.0000 5.5426
5.9143 0.0000 3.4475
7.9819 0.0000 0.2195
9.9159 0.0000 6.5466
11.9835 0.0000 3.3186
15.2283 0.0000 1.2234
18.0972 0.0000 4.9186
3.1066 0.0000 1.7186
14.7912 0.0000 5.0475
8.9489 0.0000 3.3830


No. 19
NdTlAu PBE relaxed; volume = 155.9 Å³ per cell; spin magnetization = 0.000 Bohr magnetons per cell; ΔE_f = -0.44 eV/atom; density of states at the Fermi level = 3.27 states/eV per cell; SG = I4mm; uncorrected energy = -23.4 eV for the cell shown
1.0
3.6723 0.0000 0.0000
0.0000 3.6723 0.0000
0.0000 0.0000 11.5631
Nd Tl Au
2 2 2
Cartesian
0.0000 0.0000 0.0000
1.8362 1.8362 5.7815
0.0000 0.0000 8.0523
1.8362 1.8362 2.2708
0.0000 0.0000 4.0482
1.8362 1.8362 9.8297


No. 20
NdTl2Au PBE relaxed; offset from the most stable computed form = 455 meV/atom; volume = 357.1 Å³ per cell; spin magnetization = 0.000 Bohr magnetons per cell; ΔE_f = 0.10 eV/atom; density of states at the Fermi level = 11.00 states/eV per cell; SG = R-3m; uncorrected energy = -37.2 eV for the cell shown
1.0
3.5544 0.0000 0.0000
-1.7772 3.0782 0.0000
0.0000 0.0000 32.6350
Nd Tl Au
3 6 3
Cartesian
0.0000 0.0000 0.0000
0.0000 2.0521 21.7567
1.7772 1.0261 10.8783
0.0000 0.0000 3.2516
0.0000 0.0000 29.3834
0.0000 2.0521 18.5051
0.0000 2.0521 25.0082
1.7772 1.0261 7.6268
1.7772 1.0261 14.1299
0.0000 0.0000 16.3175
0.0000 2.0521 5.4392
1.7772 1.0261 27.1958


No. 21
NdTlAu PBE relaxed; volume = 76.4 Å³ per cell; spin magnetization = 0.002 Bohr magnetons per cell; ΔE_f = -0.53 eV/atom; density of states at the Fermi level = 1.89 states/eV per cell; SG = P-6m2; uncorrected energy = -12.0 eV for the cell shown
1.0
4.9450 0.0000 0.0000
-2.4725 4.2825 0.0000
0.0000 0.0000 3.6090
Nd Tl Au
1 1 1
Cartesian
0.0000 0.0000 0.0000
0.0000 2.8550 1.8045
2.4725 1.4275 1.8045


No. 22
NdTmTlAu PBE relaxed; offset from the most stable computed form = 0 meV/atom; volume = 104.2 Å³ per cell; spin magnetization = 0.005 Bohr magnetons per cell; ΔE_f = -0.61 eV/atom; density of states at the Fermi level = 2.22 states/eV per cell; SG = P4mm; uncorrected energy = -17.3 eV for the cell shown
1.0
3.6473 0.0000 0.0000
0.0000 3.6473 0.0000
0.0000 0.0000 7.8321
Nd Tm Tl Au
1 1 1 1
Cartesian
0.0000 0.0000 0.0000
0.0000 0.0000 3.6006
1.8237 1.8237 5.6492
1.8237 1.8237 2.0816


No. 23
NdTmTlAu PBE relaxed; offset from the most stable computed form = 72 meV/atom; volume = 420.6 Å³ per cell; spin magnetization = 0.001 Bohr magnetons per cell; ΔE_f = -0.53 eV/atom; density of states at the Fermi level = 13.56 states/eV per cell; SG = F-43m; uncorrected energy = -68.1 eV for the cell shown
1.0
7.4926 0.0000 0.0000
0.0000 7.4926 0.0000
0.0000 0.0000 7.4926
Nd Tm Tl Au
4 4 4 4
Cartesian
0.0000 0.0000 0.0000
0.0000 3.7463 3.7463
3.7463 0.0000 3.7463
3.7463 3.7463 0.0000
0.0000 0.0000 3.7463
0.0000 3.7463 0.0000
3.7463 0.0000 0.0000
3.7463 3.7463 3.7463
1.8731 1.8731 5.6194
1.8731 5.6194 1.8731
5.6194 1.8731 1.8731
5.6194 5.6194 5.6194
1.8731 1.8731 1.8731
1.8731 5.6194 5.6194
5.6194 1.8731 5.6194
5.6194 5.6194 1.8731


No. 24
NdZrTlAu PBE relaxed; volume = 397.1 Å³ per cell; spin magnetization = 4.550 Bohr magnetons per cell; ΔE_f = -0.28 eV/atom; density of states at the Fermi level = 11.20 states/eV per cell; SG = F-43m; uncorrected energy = -80.4 eV for the cell shown
1.0
7.3500 0.0000 0.0000
0.0000 7.3500 0.0000
0.0000 0.0000 7.3500
Nd Zr Tl Au
4 4 4 4
Cartesian
0.0000 0.0000 0.0000
0.0000 3.6750 3.6750
3.6750 0.0000 3.6750
3.6750 3.6750 0.0000
0.0000 0.0000 3.6750
0.0000 3.6750 0.0000
3.6750 0.0000 0.0000
3.6750 3.6750 3.6750
1.8375 1.8375 5.5125
1.8375 5.5125 1.8375
5.5125 1.8375 1.8375
5.5125 5.5125 5.5125
1.8375 1.8375 1.8375
1.8375 5.5125 5.5125
5.5125 1.8375 5.5125
5.5125 5.5125 1.8375